A plane-wave DFT calculation with GGA-PBE was carried out for a relaxed CaV2Os crystal.

Output
Formation enthalpy at 0 K in eV per atom: 0.46
ΔE to the lowest computed polymorph in eV/f.u.: 1.84
E in eV/atom: -7.40

The structure in POSCAR format:
```
CaV2Os
1.0
0.000 3.186 3.186
3.186 0.000 3.186
3.186 3.186 0.000
Ca V Os
1 2 1
Cartesian
0.000 0.000 0.000
1.593 1.593 1.593
4.779 4.779 4.779
3.186 3.186 3.186
```